Entry 1:
A relaxed structure of MnAg2Ru. Source: Alexandria via LeMat-Bulk, functional PBE.

Structure (POSCAR):
```
MnAg2Ru
1.0
-4.491 -4.286 3.873
5.295 -1.094 4.930
-0.432 -0.584 5.764
Ru Mn Ag
2 2 4
Direct
0.000 0.000 0.000
0.750 0.250 0.500
0.500 0.500 0.000
0.250 0.750 0.500
0.618 0.125 0.250
0.132 0.625 0.250
0.375 0.382 0.750
0.875 0.868 0.750
```

Values from the calculation:
**Polymorph energy (0 for the lowest one)**: 0.601 eV per atom
**ΔH_f (0 K)**: 0.84 eV/atom

=====

Entry 2:
A relaxed structure of MnAgRu2. Source: Alexandria via LeMat-Bulk, functional PBE.

Structure (POSCAR):
```
MnAgRu2
1.0
4.749 -0.035 0.000
-1.615 4.466 0.000
0.000 0.000 2.779
Ag Mn Ru
1 1 2
Direct
0.500 0.000 0.500
0.000 0.500 0.500
0.000 0.000 0.000
0.500 0.500 0.000
```

Values from the calculation:
**Polymorph energy (0 for the lowest one)**: 0.220 eV per atom
**ΔH_f (0 K)**: 0.47 eV/atom

=====

Entry 3:
A relaxed structure of MnAg2Ru. Source: Alexandria via LeMat-Bulk, functional PBE.

Structure (POSCAR):
```
MnAg2Ru
1.0
5.056 0.009 -0.018
4.285 2.683 -0.018
0.815 0.235 4.702
Ag Mn Ru
2 1 1
Direct
0.999 0.999 0.001
0.501 0.501 0.499
0.750 0.750 0.750
0.250 0.250 0.250
```

Values from the calculation:
**Polymorph energy (0 for the lowest one)**: 0.162 eV per atom
**ΔH_f (0 K)**: 0.40 eV/atom

=====

Entry 4:
A relaxed structure of Mn2AgRu. Source: Alexandria via LeMat-Bulk, functional PBE.

Structure (POSCAR):
```
Mn2AgRu
1.0
5.254 0.029 -0.108
2.538 4.600 0.108
-3.341 -3.249 2.428
Ag Mn Ru
1 2 1
Direct
0.250 0.750 0.500
0.991 0.991 0.000
0.741 0.241 0.500
0.518 0.518 0.000
```

Values from the calculation:
**ΔH_f (0 K)**: 0.38 eV/atom

=====

Entry 5:
A relaxed structure of MnAg2Ru. Source: Alexandria via LeMat-Bulk, functional PBE.

Structure (POSCAR):
```
MnAg2Ru
1.0
5.420 0.052 0.042
2.504 4.807 -0.042
-3.322 -3.474 2.506
Ag Mn Ru
2 1 1
Direct
0.995 0.995 0.000
0.262 0.762 0.500
0.515 0.515 0.000
0.729 0.229 0.500
```

Values from the calculation:
**Polymorph energy (0 for the lowest one)**: 0.200 eV per atom
**ΔH_f (0 K)**: 0.44 eV/atom

=====

Entry 6:
A relaxed structure of Mn2AgRu. Source: Alexandria via LeMat-Bulk, functional PBE.

Structure (POSCAR):
```
Mn2AgRu
1.0
4.440 0.000 0.000
0.000 4.440 0.000
0.000 0.000 3.046
Ag Mn Ru
1 2 1
Direct
0.000 0.500 0.500
0.000 0.000 0.000
0.500 0.500 0.000
0.500 0.000 0.500
```

Values from the calculation:
**ΔH_f (0 K)**: 0.30 eV/atom